Computed, not measured: a geometry-optimized KZn2Au structure at the PBE level of DFT.

Properties
* crystal system: monoclinic
* DOS(E_F): 1.30 states/eV per cell
* theoretical density: 6.79 Mg/m³
* energy of formation: 0.19 eV per atom
* relative energy among the computed polymorphs: 412 meV/atom
* energy: -1.540 eV per atom

Cell lengths 6.371, 6.371, 2.833 Å; angles 100.96, 100.96, 122.04 degrees
Atoms (fractional coordinates):
K1 0.000 0.000 0.000
Zn1 0.000 0.500 0.500
Zn2 0.500 0.000 0.500
Au1 0.500 0.500 0.000

***

Computed, not measured: a geometry-optimized KZn3Au structure at the PBE level of DFT.

Properties
* crystal system: monoclinic
* DOS(E_F): 7.47 states/eV per cell
* theoretical density: 5.95 Mg/m³
* energy of formation: -0.10 eV per atom
* relative energy among the computed polymorphs: 12 meV/atom
* energy: -1.739 eV per atom

Cell lengths 8.477, 6.755, 9.043 Å; angles 90.00, 111.21, 90.00 degrees
Atoms (fractional coordinates):
K1 0.149 0.006 0.215
K2 0.149 0.494 0.715
K3 0.851 0.506 0.285
K4 0.851 0.994 0.785
Zn1 0.148 0.506 0.089
Zn2 0.148 0.994 0.589
Zn3 0.355 0.505 0.372
Zn4 0.355 0.995 0.872
Zn5 0.418 0.191 0.599
Zn6 0.418 0.309 0.099
Zn7 0.582 0.691 0.901
Zn8 0.582 0.809 0.401
Zn9 0.645 0.005 0.128
Zn10 0.645 0.495 0.628
Zn11 0.852 0.006 0.411
Zn12 0.852 0.494 0.911
Au1 0.415 0.709 0.097
Au2 0.415 0.791 0.597
Au3 0.585 0.209 0.403
Au4 0.585 0.291 0.903

***

Computed, not measured: a geometry-optimized KZn4Au12 structure at the PBE level of DFT.

Properties
* crystal system: cubic
* DOS(E_F): 6.47 states/eV per cell
* theoretical density: 12.22 Mg/m³
* energy of formation: 0.09 eV per atom
* energy: -2.584 eV per atom

Cell lengths 7.777, 7.777, 7.777 Å; angles 109.47, 109.47, 109.47 degrees
Atoms (fractional coordinates):
K1 0.000 0.000 0.000
Zn1 0.000 0.000 0.500
Zn2 0.000 0.500 0.000
Zn3 0.500 0.000 0.000
Zn4 0.500 0.500 0.500
Au1 0.157 0.348 0.505
Au2 0.157 0.652 0.809
Au3 0.191 0.843 0.348
Au4 0.348 0.191 0.843
Au5 0.348 0.505 0.157
Au6 0.495 0.843 0.652
Au7 0.505 0.157 0.348
Au8 0.652 0.495 0.843
Au9 0.652 0.809 0.157
Au10 0.809 0.157 0.652
Au11 0.843 0.348 0.191
Au12 0.843 0.652 0.495

***

Computed, not measured: a geometry-optimized KZn2Au2 structure at the PBE level of DFT.

Properties
* crystal system: tetragonal
* DOS(E_F): 1.83 states/eV per cell
* theoretical density: 8.26 Mg/m³
* energy of formation: -0.21 eV per atom
* relative energy among the computed polymorphs: 24 meV/atom
* energy: -2.252 eV per atom

Cell lengths 6.043, 6.043, 6.043 Å; angles 133.73, 133.73, 67.51 degrees
Atoms (fractional coordinates):
K1 0.000 0.000 0.000
Zn1 0.370 0.370 0.000
Zn2 0.630 0.630 0.000
Au1 0.250 0.750 0.500
Au2 0.750 0.250 0.500

***

Computed, not measured: a geometry-optimized KZn12Au4 structure at the PBE level of DFT.

Properties
* crystal system: cubic
* DOS(E_F): 6.98 states/eV per cell
* theoretical density: 7.41 Mg/m³
* energy of formation: 0.04 eV per atom
* energy: -1.696 eV per atom

Cell lengths 7.771, 7.771, 7.771 Å; angles 109.47, 109.47, 109.47 degrees
Atoms (fractional coordinates):
K1 0.000 0.000 0.000
Zn1 0.150 0.507 0.357
Zn2 0.150 0.793 0.643
Zn3 0.207 0.357 0.850
Zn4 0.357 0.150 0.507
Zn5 0.357 0.850 0.207
Zn6 0.493 0.643 0.850
Zn7 0.507 0.357 0.150
Zn8 0.643 0.150 0.793
Zn9 0.643 0.850 0.493
Zn10 0.793 0.643 0.150
Zn11 0.850 0.207 0.357
Zn12 0.850 0.493 0.643
Au1 0.000 0.000 0.500
Au2 0.000 0.500 0.000
Au3 0.500 0.000 0.000
Au4 0.500 0.500 0.500

***

Computed, not measured: a geometry-optimized K3Zn3Au2 structure at the PBE level of DFT.

Properties
* crystal system: orthorhombic
* DOS(E_F): 15.17 states/eV per cell
* theoretical density: 5.15 Mg/m³
* energy of formation: -0.16 eV per atom
* relative energy among the computed polymorphs: 12 meV/atom
* energy: -1.871 eV per atom

Cell lengths 8.865, 15.955, 6.447 Å; angles 90.00, 90.00, 90.00 degrees
Atoms (fractional coordinates):
K1 0.037 0.107 0.118
K2 0.037 0.393 0.118
K3 0.197 0.250 0.580
K4 0.303 0.750 0.080
K5 0.463 0.607 0.618
K6 0.463 0.893 0.618
K7 0.537 0.107 0.382
K8 0.537 0.393 0.382
K9 0.697 0.250 0.920
K10 0.803 0.750 0.420
K11 0.963 0.607 0.882
K12 0.963 0.893 0.882
Zn1 0.157 0.750 0.534
Zn2 0.166 0.039 0.618
Zn3 0.166 0.461 0.618
Zn4 0.334 0.539 0.118
Zn5 0.334 0.961 0.118
Zn6 0.343 0.250 0.034
Zn7 0.657 0.750 0.966
Zn8 0.666 0.039 0.882
Zn9 0.666 0.461 0.882
Zn10 0.834 0.539 0.382
Zn11 0.834 0.961 0.382
Zn12 0.843 0.250 0.466
Au1 0.122 0.597 0.379
Au2 0.122 0.903 0.379
Au3 0.378 0.097 0.879
Au4 0.378 0.403 0.879
Au5 0.622 0.597 0.121
Au6 0.622 0.903 0.121
Au7 0.878 0.097 0.621
Au8 0.878 0.403 0.621

***

What did the second record say?
Computed, not measured: a geometry-optimized KZn3Au structure at the PBE level of DFT.

Properties
* crystal system: monoclinic
* DOS(E_F): 7.47 states/eV per cell
* theoretical density: 5.95 Mg/m³
* energy of formation: -0.10 eV per atom
* relative energy among the computed polymorphs: 12 meV/atom
* energy: -1.739 eV per atom

Cell lengths 8.477, 6.755, 9.043 Å; angles 90.00, 111.21, 90.00 degrees
Atoms (fractional coordinates):
K1 0.149 0.006 0.215
K2 0.149 0.494 0.715
K3 0.851 0.506 0.285
K4 0.851 0.994 0.785
Zn1 0.148 0.506 0.089
Zn2 0.148 0.994 0.589
Zn3 0.355 0.505 0.372
Zn4 0.355 0.995 0.872
Zn5 0.418 0.191 0.599
Zn6 0.418 0.309 0.099
Zn7 0.582 0.691 0.901
Zn8 0.582 0.809 0.401
Zn9 0.645 0.005 0.128
Zn10 0.645 0.495 0.628
Zn11 0.852 0.006 0.411
Zn12 0.852 0.494 0.911
Au1 0.415 0.709 0.097
Au2 0.415 0.791 0.597
Au3 0.585 0.209 0.403
Au4 0.585 0.291 0.903

***

- Which of these has the lowest DOS(E_F)?
  KZn2Au

***

- Among the records above, which one has the highest theoretical density?
  KZn4Au12